(1)
DFT (PBEsol) results for a relaxed SrCaP2 crystal.

As for the total energy: -4.5834 eV/atom. As for the crystal system: orthorhombic. As for the symmetry: Pmmm (47).

Geometry as extended XYZ:
```
4
Lattice="3.403 0.000 0.000 0.000 4.906 0.000 0.000 0.000 5.953" Properties=species:S:1:pos:R:3 pbc="T T T"
Sr 0.000 0.000 0.000
Ca 1.702 2.453 2.976
P 0.000 0.000 2.976
P 1.702 2.453 0.000
```

(2)
DFT (PBEsol) results for a relaxed AlW3C crystal.

As for the total energy: -10.8469 eV/atom. As for the crystal system: cubic. As for the symmetry: Pm-3m (221).

Geometry as extended XYZ:
```
5
Lattice="4.123 0.000 0.000 0.000 4.123 0.000 0.000 0.000 4.123" Properties=species:S:1:pos:R:3 pbc="T T T"
Al 0.000 0.000 0.000
W 0.000 2.061 2.061
W 2.061 0.000 2.061
W 2.061 2.061 0.000
C 2.061 2.061 2.061
```